No. 1
Computed, not measured: an optimized crystal structure of LuNbO4 at the GGA-PBEsol level of DFT.

Values from the calculation:
* formation energy (no corrections): -305 kJ per mole of atoms

The structure in CIF format:
```
data_LuNbO4
_symmetry_space_group_name_H-M 'C 1 2/c 1'
_symmetry_Int_Tables_number 15
_cell_length_a 6.9429
_cell_length_b 10.7218
_cell_length_c 5.0331
_cell_angle_alpha 90.00
_cell_angle_beta 132.00
_cell_angle_gamma 90.00
loop_
_symmetry_equiv_pos_as_xyz
'x,y,z'
'-x,-y,-z'
'-x,y,-z+1/2'
'x,-y,z+1/2'
'x+1/2,y+1/2,z'
'-x+1/2,-y+1/2,-z'
'-x+1/2,y+1/2,-z+1/2'
'x+1/2,-y+1/2,z+1/2'
loop_
_atom_site_label
_atom_site_type_symbol
_atom_site_fract_x
_atom_site_fract_y
_atom_site_fract_z
Lu1 Lu 0.0000 0.1286 0.2500
Nb1 Nb 0.0000 0.3917 0.7500
O1 O 0.1672 0.2854 0.6625
O2 O 0.2478 0.0304 0.7831
```

***

No. 2
Computed, not measured: an optimized crystal structure of SbAs2Cl13 at the GGA-PBEsol level of DFT.

Values from the calculation:
* formation energy (no corrections): -57 kJ per mole of atoms

The structure in CIF format:
```
data_SbAs2Cl13
_symmetry_space_group_name_H-M 'C m c 21'
_symmetry_Int_Tables_number 36
_cell_length_a 10.3644
_cell_length_b 15.7910
_cell_length_c 11.7613
_cell_angle_alpha 90.00
_cell_angle_beta 90.00
_cell_angle_gamma 90.00
loop_
_symmetry_equiv_pos_as_xyz
'x,y,z'
'-x,-y,z+1/2'
'-x,y,z'
'x,-y,z+1/2'
'x+1/2,y+1/2,z'
'-x+1/2,-y+1/2,z+1/2'
'-x+1/2,y+1/2,z'
'x+1/2,-y+1/2,z+1/2'
loop_
_atom_site_label
_atom_site_type_symbol
_atom_site_fract_x
_atom_site_fract_y
_atom_site_fract_z
Sb1 Sb 0.0000 0.2178 0.0000
As1 As 0.0000 0.1372 0.5408
As2 As 0.0000 0.4381 0.8510
Cl1 Cl 0.0000 0.0875 0.8974
Cl2 Cl 0.0000 0.1337 0.3623
Cl3 Cl 0.0000 0.2647 0.5927
Cl4 Cl 0.0000 0.3519 0.0968
Cl5 Cl 0.0000 0.4381 0.6589
Cl6 Cl 0.1613 0.4721 0.3717
Cl7 Cl 0.1633 0.1659 0.1245
Cl8 Cl 0.1644 0.0763 0.6043
Cl9 Cl 0.1648 0.2708 0.8736
```

***

No. 3
Computed, not measured: an optimized crystal structure of CrRe3Hg at the GGA-PBEsol level of DFT.

Values from the calculation:
* ΔH_f (0 K): 3.54 eV per atom

The structure in CIF format:
```
data_CrRe3Hg
_symmetry_space_group_name_H-M 'P m -3 m'
_symmetry_Int_Tables_number 221
_symmetry_space_group_name_Hall '-P 4 2 3'
_cell_length_a 4.8070
_cell_length_b 4.8070
_cell_length_c 4.8070
_cell_angle_alpha 90.00
_cell_angle_beta 90.00
_cell_angle_gamma 90.00
loop_
_atom_site_label
_atom_site_type_symbol
_atom_site_fract_x
_atom_site_fract_y
_atom_site_fract_z
Cr1 Cr 0.0000 0.0000 0.0000
Re1 Re 0.0000 0.5000 0.5000
Hg1 Hg 0.5000 0.5000 0.5000
```

***

No. 4
Computed, not measured: an optimized crystal structure of MgSiW2 at the GGA-PBEsol level of DFT.

Values from the calculation:
* formation energy (no corrections): 52 kJ per mole of atoms

The structure in CIF format:
```
data_MgSiW2
_symmetry_space_group_name_H-M 'P 4/m m m'
_symmetry_Int_Tables_number 123
_symmetry_space_group_name_Hall '-P 4 2'
_cell_length_a 4.6704
_cell_length_b 4.6704
_cell_length_c 2.7481
_cell_angle_alpha 90.00
_cell_angle_beta 90.00
_cell_angle_gamma 90.00
loop_
_atom_site_label
_atom_site_type_symbol
_atom_site_fract_x
_atom_site_fract_y
_atom_site_fract_z
Mg1 Mg 0.0000 0.0000 0.0000
Si1 Si 0.5000 0.5000 0.0000
W1 W 0.0000 0.5000 0.5000
```

***

No. 5
Computed, not measured: an optimized crystal structure of CdPbAu2 at the GGA-PBEsol level of DFT.

Values from the calculation:
* ΔH_f (0 K): -0.01 eV per atom

The structure in CIF format:
```
data_CdPbAu2
_symmetry_space_group_name_H-M 'P 4 m m'
_symmetry_Int_Tables_number 99
_cell_length_a 3.4873
_cell_length_b 3.4873
_cell_length_c 6.9210
_cell_angle_alpha 90.00
_cell_angle_beta 90.00
_cell_angle_gamma 90.00
loop_
_symmetry_equiv_pos_as_xyz
'x,y,z'
'-y,x,z'
'-x,-y,z'
'y,-x,z'
'-x,y,z'
'y,x,z'
'x,-y,z'
'-y,-x,z'
loop_
_atom_site_label
_atom_site_type_symbol
_atom_site_fract_x
_atom_site_fract_y
_atom_site_fract_z
Cd1 Cd 0.0000 0.0000 0.0000
Pb1 Pb 0.5000 0.5000 0.3274
Au1 Au 0.0000 0.0000 0.5795
Au2 Au 0.5000 0.5000 0.7920
```

***

No. 6
Computed, not measured: an optimized crystal structure of AgSbPb at the GGA-PBEsol level of DFT.

Values from the calculation:
* formation energy (no corrections): 8 kJ per mole of atoms

The structure in CIF format:
```
data_AgSbPb
_symmetry_space_group_name_H-M 'I 4 m m'
_symmetry_Int_Tables_number 107
_symmetry_space_group_name_Hall 'I 4 -2'
_cell_length_a 3.3532
_cell_length_b 3.3532
_cell_length_c 12.8736
_cell_angle_alpha 90.00
_cell_angle_beta 90.00
_cell_angle_gamma 90.00
loop_
_atom_site_label
_atom_site_type_symbol
_atom_site_fract_x
_atom_site_fract_y
_atom_site_fract_z
Ag1 Ag 0.0000 0.0000 0.0000
Sb1 Sb 0.0000 0.0000 0.3607
Pb1 Pb 0.0000 0.0000 0.6565
```

***

No. 7
Computed, not measured: an optimized crystal structure of SiTcOs2 at the GGA-PBEsol level of DFT.

Values from the calculation:
* formation energy (no corrections): 3 kJ per mole of atoms

The structure in CIF format:
```
data_SiTcOs2
_symmetry_space_group_name_H-M 'I -4 m 2'
_symmetry_Int_Tables_number 119
_symmetry_space_group_name_Hall 'I -4 -2'
_cell_length_a 3.7253
_cell_length_b 3.7253
_cell_length_c 7.8071
_cell_angle_alpha 90.00
_cell_angle_beta 90.00
_cell_angle_gamma 90.00
loop_
_atom_site_label
_atom_site_type_symbol
_atom_site_fract_x
_atom_site_fract_y
_atom_site_fract_z
Si1 Si 0.0000 0.0000 0.0000
Tc1 Tc 0.0000 0.5000 0.2500
Os1 Os 0.0000 0.0000 0.5000
Os2 Os 0.0000 0.5000 0.7500
```

***

No. 8
Computed, not measured: an optimized crystal structure of NbAlTe2 at the GGA-PBEsol level of DFT.

Values from the calculation:
* formation energy (no corrections): -7 kJ per mole of atoms

The structure in CIF format:
```
data_NbAlTe2
_symmetry_space_group_name_H-M 'R -3 m'
_symmetry_Int_Tables_number 166
_symmetry_space_group_name_Hall '-R 3 2"'
_cell_length_a 3.4896
_cell_length_b 3.4896
_cell_length_c 29.0025
_cell_angle_alpha 90.00
_cell_angle_beta 90.00
_cell_angle_gamma 120.00
loop_
_atom_site_label
_atom_site_type_symbol
_atom_site_fract_x
_atom_site_fract_y
_atom_site_fract_z
Nb1 Nb 0.0000 0.0000 0.0000
Al1 Al 0.0000 0.0000 0.5000
Te1 Te 0.0000 0.0000 0.3987
```

***

No. 9
Computed, not measured: an optimized crystal structure of Zr5NiSb3 at the GGA-PBEsol level of DFT.

Values from the calculation:
* formation energy (no corrections): -76 kJ per mole of atoms

The structure in CIF format:
```
data_Zr5NiSb3
_symmetry_space_group_name_H-M 'P 63/m c m'
_symmetry_Int_Tables_number 193
_symmetry_space_group_name_Hall '-P 6c 2'
_cell_length_a 8.5291
_cell_length_b 8.5291
_cell_length_c 5.7319
_cell_angle_alpha 90.00
_cell_angle_beta 90.00
_cell_angle_gamma 120.00
loop_
_atom_site_label
_atom_site_type_symbol
_atom_site_fract_x
_atom_site_fract_y
_atom_site_fract_z
Zr1 Zr 0.0000 0.2570 0.2500
Zr2 Zr 0.3333 0.6667 0.0000
Ni1 Ni 0.0000 0.0000 0.0000
Sb1 Sb 0.0000 0.3880 0.7500
```

***

No. 10
Computed, not measured: an optimized crystal structure of Y2MnMo at the GGA-PBEsol level of DFT.

Values from the calculation:
* ΔH_f (0 K): 0.68 eV per atom

The structure in CIF format:
```
data_Y2MnMo
_symmetry_space_group_name_H-M 'C 1 2/m 1'
_symmetry_Int_Tables_number 12
_cell_length_a 9.3852
_cell_length_b 3.0085
_cell_length_c 5.8941
_cell_angle_alpha 90.00
_cell_angle_beta 97.47
_cell_angle_gamma 90.00
loop_
_symmetry_equiv_pos_as_xyz
'x,y,z'
'-x,-y,-z'
'-x,y,-z'
'x,-y,z'
'x+1/2,y+1/2,z'
'-x+1/2,-y+1/2,-z'
'-x+1/2,y+1/2,-z'
'x+1/2,-y+1/2,z'
loop_
_atom_site_label
_atom_site_type_symbol
_atom_site_fract_x
_atom_site_fract_y
_atom_site_fract_z
Y1 Y 0.2493 0.0000 0.2491
Mn1 Mn 0.0000 0.0000 0.5000
Mo1 Mo 0.0000 0.5000 0.0000
```

***

No. 11
Computed, not measured: an optimized crystal structure of BeFeAg at the GGA-PBEsol level of DFT.

Values from the calculation:
* ΔH_f (0 K): 0.17 eV per atom

The structure in CIF format:
```
data_BeFeAg
_symmetry_space_group_name_H-M 'I 4 m m'
_symmetry_Int_Tables_number 107
_symmetry_space_group_name_Hall 'I 4 -2'
_cell_length_a 2.6510
_cell_length_b 2.6510
_cell_length_c 10.0535
_cell_angle_alpha 90.00
_cell_angle_beta 90.00
_cell_angle_gamma 90.00
loop_
_atom_site_label
_atom_site_type_symbol
_atom_site_fract_x
_atom_site_fract_y
_atom_site_fract_z
Be1 Be 0.0000 0.0000 0.0000
Fe1 Fe 0.0000 0.0000 0.3657
Ag1 Ag 0.0000 0.0000 0.6649
```

***

No. 12
Computed, not measured: an optimized crystal structure of TeSe at the GGA-PBEsol level of DFT.

Values from the calculation:
* formation energy (no corrections): 9 kJ per mole of atoms

The structure in CIF format:
```
data_TeSe
_symmetry_space_group_name_H-M 'P 63/m m c'
_symmetry_Int_Tables_number 194
_symmetry_space_group_name_Hall '-P 6c 2c'
_cell_length_a 3.8659
_cell_length_b 3.8659
_cell_length_c 7.8512
_cell_angle_alpha 90.00
_cell_angle_beta 90.00
_cell_angle_gamma 120.00
loop_
_atom_site_label
_atom_site_type_symbol
_atom_site_fract_x
_atom_site_fract_y
_atom_site_fract_z
Te1 Te 0.3333 0.6667 0.2500
Se1 Se 0.0000 0.0000 0.0000
```

***

No. 13
Computed, not measured: an optimized crystal structure of YMnO3 at the GGA-PBEsol level of DFT.

Values from the calculation:
* formation energy (no corrections): -120 kJ per mole of atoms

The structure in CIF format:
```
data_YMnO3
_symmetry_space_group_name_H-M 'P m -3 m'
_symmetry_Int_Tables_number 221
_symmetry_space_group_name_Hall '-P 4 2 3'
_cell_length_a 4.2519
_cell_length_b 4.2519
_cell_length_c 4.2519
_cell_angle_alpha 90.00
_cell_angle_beta 90.00
_cell_angle_gamma 90.00
loop_
_atom_site_label
_atom_site_type_symbol
_atom_site_fract_x
_atom_site_fract_y
_atom_site_fract_z
Y1 Y 0.0000 0.0000 0.0000
Mn1 Mn 0.5000 0.5000 0.5000
O1 O 0.0000 0.0000 0.5000
```

***

No. 14
Computed, not measured: an optimized crystal structure of SmTl at the GGA-PBEsol level of DFT.

Values from the calculation:
* ΔH_f (0 K): -0.45 eV per atom

The structure in CIF format:
```
data_SmTl
_symmetry_space_group_name_H-M 'P 4/m m m'
_symmetry_Int_Tables_number 123
_symmetry_space_group_name_Hall '-P 4 2'
_cell_length_a 3.5528
_cell_length_b 3.5528
_cell_length_c 4.2758
_cell_angle_alpha 90.00
_cell_angle_beta 90.00
_cell_angle_gamma 90.00
loop_
_atom_site_label
_atom_site_type_symbol
_atom_site_fract_x
_atom_site_fract_y
_atom_site_fract_z
Sm1 Sm 0.0000 0.0000 0.0000
Tl1 Tl 0.5000 0.5000 0.5000
```

***

No. 15
Computed, not measured: an optimized crystal structure of NaZr2NbTe at the GGA-PBEsol level of DFT.

Values from the calculation:
* formation energy (no corrections): 87 kJ per mole of atoms

The structure in CIF format:
```
data_NaZr2NbTe
_symmetry_space_group_name_H-M 'P 4/m m m'
_symmetry_Int_Tables_number 123
_symmetry_space_group_name_Hall '-P 4 2'
_cell_length_a 5.3144
_cell_length_b 5.3144
_cell_length_c 5.0516
_cell_angle_alpha 90.00
_cell_angle_beta 90.00
_cell_angle_gamma 90.00
loop_
_atom_site_label
_atom_site_type_symbol
_atom_site_fract_x
_atom_site_fract_y
_atom_site_fract_z
Na1 Na 0.0000 0.0000 0.0000
Zr1 Zr 0.0000 0.5000 0.5000
Nb1 Nb 0.5000 0.5000 0.0000
Te1 Te 0.5000 0.5000 0.5000
```

***

No. 16
Computed, not measured: an optimized crystal structure of TcCCl2 at the GGA-PBEsol level of DFT.

Values from the calculation:
* formation energy (no corrections): 163 kJ per mole of atoms

The structure in CIF format:
```
data_TcCCl2
_symmetry_space_group_name_H-M 'F m -3 m'
_symmetry_Int_Tables_number 225
_symmetry_space_group_name_Hall '-F 4 2 3'
_cell_length_a 5.9042
_cell_length_b 5.9042
_cell_length_c 5.9042
_cell_angle_alpha 90.00
_cell_angle_beta 90.00
_cell_angle_gamma 90.00
loop_
_atom_site_label
_atom_site_type_symbol
_atom_site_fract_x
_atom_site_fract_y
_atom_site_fract_z
Tc1 Tc 0.0000 0.0000 0.0000
C1 C 0.0000 0.0000 0.5000
Cl1 Cl 0.2500 0.2500 0.2500
```

***

No. 17
Computed, not measured: an optimized crystal structure of MgRhC2O at the GGA-PBEsol level of DFT.

Values from the calculation:
* formation energy (no corrections): 285 kJ per mole of atoms

The structure in CIF format:
```
data_MgRhC2O
_symmetry_space_group_name_H-M 'P 4/m m m'
_symmetry_Int_Tables_number 123
_symmetry_space_group_name_Hall '-P 4 2'
_cell_length_a 3.8342
_cell_length_b 3.8342
_cell_length_c 4.7321
_cell_angle_alpha 90.00
_cell_angle_beta 90.00
_cell_angle_gamma 90.00
loop_
_atom_site_label
_atom_site_type_symbol
_atom_site_fract_x
_atom_site_fract_y
_atom_site_fract_z
Mg1 Mg 0.0000 0.0000 0.0000
Rh1 Rh 0.0000 0.0000 0.5000
C1 C 0.0000 0.5000 0.0000
O1 O 0.5000 0.5000 0.5000
```

***

No. 18
Computed, not measured: an optimized crystal structure of BaLiAg2 at the GGA-PBEsol level of DFT.

Values from the calculation:
* ΔH_f (0 K): 0.02 eV per atom

The structure in CIF format:
```
data_BaLiAg2
_symmetry_space_group_name_H-M 'F -4 3 m'
_symmetry_Int_Tables_number 216
_symmetry_space_group_name_Hall 'F -4 2 3'
_cell_length_a 7.3261
_cell_length_b 7.3261
_cell_length_c 7.3261
_cell_angle_alpha 90.00
_cell_angle_beta 90.00
_cell_angle_gamma 90.00
loop_
_atom_site_label
_atom_site_type_symbol
_atom_site_fract_x
_atom_site_fract_y
_atom_site_fract_z
Ba1 Ba 0.0000 0.0000 0.0000
Li1 Li 0.2500 0.2500 0.7500
Ag1 Ag 0.0000 0.0000 0.5000
Ag2 Ag 0.2500 0.2500 0.2500
```

***

No. 19
Computed, not measured: an optimized crystal structure of Li3FeOF3 at the GGA-PBEsol level of DFT.

Values from the calculation:
* formation energy (no corrections): -221 kJ per mole of atoms

The structure in CIF format:
```
data_Li3FeOF3
_symmetry_space_group_name_H-M 'I m m a'
_symmetry_Int_Tables_number 74
_symmetry_space_group_name_Hall '-I 2b 2'
_cell_length_a 5.6738
_cell_length_b 8.5054
_cell_length_c 5.8824
_cell_angle_alpha 90.00
_cell_angle_beta 90.00
_cell_angle_gamma 90.00
loop_
_atom_site_label
_atom_site_type_symbol
_atom_site_fract_x
_atom_site_fract_y
_atom_site_fract_z
Li1 Li 0.0000 0.0000 0.0000
Li2 Li 0.0000 0.0000 0.5000
Li3 Li 0.2500 0.2500 0.2500
Fe1 Fe 0.2500 0.2500 0.7500
O1 O 0.0000 0.2500 0.5283
F1 F 0.0000 0.2500 0.0366
F2 F 0.2500 0.0091 0.2500
```

***

No. 20
Computed, not measured: an optimized crystal structure of YHBr2 at the GGA-PBEsol level of DFT.

The structure in CIF format:
```
data_YHBr2
_symmetry_space_group_name_H-M 'I -4 2 d'
_symmetry_Int_Tables_number 122
_symmetry_space_group_name_Hall 'I -4 2bw'
_cell_length_a 10.1954
_cell_length_b 10.1954
_cell_length_c 4.1592
_cell_angle_alpha 90.00
_cell_angle_beta 90.00
_cell_angle_gamma 90.00
loop_
_atom_site_label
_atom_site_type_symbol
_atom_site_fract_x
_atom_site_fract_y
_atom_site_fract_z
Y1 Y 0.0000 0.0000 0.0000
H1 H 0.0000 0.0000 0.5000
Br1 Br 0.0925 0.2500 0.1250
```

***

no.,E_tot (eV per formula unit)
1,-55.6
2,-50.3
3,-33.1
4,-32.9
5,-13.1
6,-11.6
7,-41.3
8,-22.2
9,-72.4
10,-32.4
11,-15.8
12,-7.2
13,-38.5
14,-8.6
15,-29.4
16,-18.2
17,-19.6
18,-10.7
19,-44.2
20,-18.9